No. 1
First-principles (SCAN) data for a PBEsol-optimized structure of LiNiO2, as listed in Alexandria.

Output
Symmetry   No. 15
Spin magnetization   1.00 μB/f.u.
Formation energy without anion corrections   -158.7 kJ/mol of atoms
Calculated volume   8.27 Å³/atom
D(E_F)   0.07 states/eV per cell

Cell lengths 4.957, 4.957, 4.894 Å; angles 100.79, 100.79, 34.12 degrees
Atoms (fractional coordinates):
Li 0.247 0.753 0.750
Li 0.753 0.247 0.250
Ni 0.000 0.500 0.000
Ni 0.500 0.000 0.500
O 0.155 0.567 0.365
O 0.433 0.845 0.135
O 0.567 0.155 0.865
O 0.845 0.433 0.635

***

No. 2
First-principles (SCAN) data for a PBEsol-optimized structure of Li7Ni9O18, as listed in Alexandria.

Output
Symmetry   No. 2
Spin magnetization   7.00 μB/f.u.
Formation energy without anion corrections   -148.2 kJ/mol of atoms
Calculated volume   8.69 Å³/atom
D(E_F)   8.98 states/eV per cell

Cell lengths 5.731, 6.374, 8.559 Å; angles 77.01, 89.76, 76.28 degrees
Atoms (fractional coordinates):
Li 0.000 0.000 0.000
Li 0.010 0.987 0.330
Li 0.339 0.657 0.555
Li 0.345 0.660 0.896
Li 0.655 0.340 0.104
Li 0.661 0.343 0.445
Li 0.990 0.013 0.670
Ni 0.165 0.337 0.109
Ni 0.168 0.333 0.440
Ni 0.169 0.334 0.776
Ni 0.495 0.994 0.334
Ni 0.500 0.000 0.000
Ni 0.505 0.006 0.666
Ni 0.831 0.666 0.224
Ni 0.832 0.667 0.560
Ni 0.835 0.663 0.891
O 0.055 0.653 0.398
O 0.063 0.651 0.725
O 0.067 0.650 0.048
O 0.252 0.028 0.150
O 0.261 0.012 0.488
O 0.277 0.018 0.827
O 0.386 0.329 0.950
O 0.398 0.307 0.276
O 0.398 0.318 0.596
O 0.602 0.682 0.404
O 0.602 0.693 0.724
O 0.614 0.671 0.050
O 0.723 0.982 0.173
O 0.739 0.988 0.512
O 0.748 0.972 0.850
O 0.933 0.350 0.952
O 0.937 0.349 0.275
O 0.945 0.347 0.602

***

Copy entry 1 word for word.
First-principles (SCAN) data for a PBEsol-optimized structure of LiNiO2, as listed in Alexandria.

Output
Symmetry   No. 15
Spin magnetization   1.00 μB/f.u.
Formation energy without anion corrections   -158.7 kJ/mol of atoms
Calculated volume   8.27 Å³/atom
D(E_F)   0.07 states/eV per cell

Cell lengths 4.957, 4.957, 4.894 Å; angles 100.79, 100.79, 34.12 degrees
Atoms (fractional coordinates):
Li 0.247 0.753 0.750
Li 0.753 0.247 0.250
Ni 0.000 0.500 0.000
Ni 0.500 0.000 0.500
O 0.155 0.567 0.365
O 0.433 0.845 0.135
O 0.567 0.155 0.865
O 0.845 0.433 0.635

***

Q: Which of these has the lowest calculated volume?
A: LiNiO2